Here is crystalline Li4NdAu4 at its relaxed geometry from the Alexandria database. Energies are from PBE.

Summary:
Energy = -3.302 eV per atom
DFT formation energy = -465 meV/atom
Mass density = 9.25 g/cm3

abc: 6.3986 6.3986 8.4140
angles: 90.00 90.00 90.00
Space group P4_2/nmc (No. 137, origin choice 2)
Unique sites:
Li (0.0098, 0.2500, 0.1441) x8
Nd (0.2500, 0.7500, 0.2500) x2
Au (0.0326, 0.2500, 0.4535) x8

---

Here is crystalline Li2NdAu4 at its relaxed geometry from the Alexandria database. Energies are from PBE.

Summary:
Energy = -3.755 eV per atom
DFT formation energy = -654 meV/atom
Mass density = 11.55 g/cm3

abc: 7.1629 7.1629 5.3011
angles: 90.00 90.00 90.00
Space group I4/mmm (No. 139)
Unique sites:
Li (0.0000, 0.5000, 0.2500) x4
Nd (0.0000, 0.0000, 0.0000) x2
Au (0.1999, 0.1999, 0.5000) x8

---

Here is crystalline LiNdPbAu at its relaxed geometry from the Alexandria database. Energies are from PBE.

Summary:
Energy = -3.946 eV per atom
DFT formation energy = -529 meV/atom
Mass density = 9.54 g/cm3

abc: 7.2855 7.2855 7.2855
angles: 90.00 90.00 90.00
Space group F-43m (No. 216)
Unique sites:
Li (0.0000, 0.0000, 0.0000) x4
Nd (0.0000, 0.0000, 0.5000) x4
Pb (0.2500, 0.2500, 0.7500) x4
Au (0.2500, 0.2500, 0.2500) x4